(1)
A relaxed MgGa2Fe crystal. Source: the Alexandria database, functional PBE-GGA.

Summary:
Total magnetic moment, μB per formula unit: 1.84
Calculated formation energy, meV/atom: -42.8
Fermi-level density of states, states/eV/cell: 2.22

Cell lengths 3.0557, 3.0557, 6.6729 Å; angles 90.00, 90.00, 90.00 degrees
Element x y z (fractional)
Mg: 0.5000 0.5000 0.5000
Ga: 0.0000 0.0000 0.2048
Fe: 0.5000 0.5000 0.0000
Ga: 0.0000 0.0000 0.7952



(2)
A relaxed YReCl3 crystal. Source: the Alexandria database, functional PBE-GGA.

Summary:
ΔE to the lowest computed polymorph, eV/f.u.: 1.767
Total magnetic moment, μB per formula unit: 0.00
ΔE_f (raw), eV per atom: 0.160
Fermi-level density of states, states/eV/cell: 4.96

Cell lengths 4.7760, 4.7760, 4.7760 Å; angles 90.00, 90.00, 90.00 degrees
Element x y z (fractional)
Re: 0.0000 0.0000 0.0000
Y: 0.5000 0.5000 0.5000
Cl: 0.0000 0.0000 0.5000
Cl: 0.0000 0.5000 0.0000
Cl: 0.5000 0.0000 0.0000



(3)
A relaxed Li2PaPb3 crystal. Source: the Alexandria database, functional PBE-GGA.

Summary:
Total magnetic moment, μB per formula unit: 0.53
Calculated formation energy, meV/atom: -132.8
Fermi-level density of states, states/eV/cell: 5.17

Cell lengths 3.4893, 3.4893, 11.8012 Å; angles 90.00, 90.00, 90.00 degrees
Element x y z (fractional)
Pb: 0.0000 0.0000 0.6932
Li: 0.5000 0.5000 0.8448
Pb: 0.0000 0.0000 0.3068
Li: 0.5000 0.5000 0.1552
Pb: 0.0000 0.0000 0.0000
Pa: 0.5000 0.5000 0.5000



(4)
A relaxed LiTe2RhO6 crystal. Source: the Alexandria database, functional PBE-GGA.

Summary:
Total magnetic moment, μB per formula unit: 0.00
ΔE_f (raw), eV per atom: -1.022

Cell lengths 5.3260, 7.0290, 7.0290 Å; angles 99.30, 83.67, 83.67 degrees
Element x y z (fractional)
O: 0.3852 0.1921 0.0510
O: 0.5158 0.4593 0.7043
Li: 0.7500 0.7974 0.2026
O: 0.1148 0.9490 0.8079
O: 0.1140 0.6560 0.0569
O: 0.8852 0.0510 0.1921
O: 0.3860 0.9431 0.3440
Rh: 0.2500 0.9246 0.0754
Te: 0.8274 0.5444 0.7851
Te: 0.1726 0.4556 0.2149
O: 0.9842 0.2957 0.5407
Te: 0.6726 0.2149 0.4556
O: 0.6140 0.0569 0.6560
Rh: 0.7500 0.0754 0.9246
Li: 0.2500 0.2026 0.7974
O: 0.0158 0.7043 0.4593
Te: 0.3274 0.7851 0.5444
O: 0.8860 0.3440 0.9431
O: 0.6148 0.8079 0.9490
O: 0.4842 0.5407 0.2957



(5)
A relaxed LiCo5 crystal. Source: the Alexandria database, functional PBE-GGA.

Summary:
ΔE to the lowest computed polymorph, eV/f.u.: 0.000
Total magnetic moment, μB per formula unit: 7.72
Calculated formation energy, meV/atom: 89.3
Fermi-level density of states, states/eV/cell: 5.86

Cell lengths 6.6477, 6.6477, 4.0634 Å; angles 90.00, 90.00, 158.56 degrees
Element x y z (fractional)
Co: 0.6688 0.3312 0.0000
Co: 0.7798 0.2202 0.5000
Co: 0.3333 0.6667 0.0000
Co: 0.0016 0.9984 0.0000
Co: 0.4399 0.5601 0.5000
Li: 0.1099 0.8901 0.5000



(6)
A relaxed SiNi6H3 crystal. Source: the Alexandria database, functional PBE-GGA.

Summary:
Total magnetic moment, μB per formula unit: 0.00
Fermi-level density of states, states/eV/cell: 11.60
Calculated total energy, eV/atom: -5.161

Cell lengths 2.6404, 8.2574, 9.4178 Å; angles 123.96, 90.00, 90.00 degrees
Element x y z (fractional)
Ni: 0.2500 0.3931 0.5581
Ni: 0.7500 0.0871 0.9470
H: 0.7500 0.5289 0.5820
H: 0.2500 0.4711 0.4180
H: 0.7500 0.8572 0.5204
Si: 0.2500 0.2544 0.8744
Ni: 0.2500 0.5317 0.8833
Ni: 0.2500 0.2858 0.2226
Ni: 0.7500 0.0847 0.3326
Si: 0.7500 0.7456 0.1256
Ni: 0.7500 0.6069 0.4419
Ni: 0.7500 0.1865 0.6436
Ni: 0.2500 0.8135 0.3564
H: 0.7500 0.1249 0.1631
Ni: 0.7500 0.4683 0.1167
H: 0.2500 0.1428 0.4796
Ni: 0.2500 0.9153 0.6674
Ni: 0.7500 0.7142 0.7774
H: 0.2500 0.8751 0.8369
Ni: 0.2500 0.9129 0.0530



(7)
A relaxed Ca4BeNb3N8 crystal. Source: the Alexandria database, functional PBE-GGA.

Summary:
Total magnetic moment, μB per formula unit: 0.00
ΔE_f (raw), eV per atom: -0.961
Fermi-level density of states, states/eV/cell: 2.63

Cell lengths 6.3652, 6.6240, 6.3663 Å; angles 118.73, 119.99, 90.00 degrees
Element x y z (fractional)
N: 0.7392 0.7174 0.4784
Be: 0.0000 0.5000 0.0000
Nb: 0.0000 0.5000 0.5000
N: 0.7611 0.2919 0.5221
N: 0.2388 0.7081 0.9695
Ca: 0.5000 0.0000 0.0000
N: 0.2608 0.2826 0.5216
Ca: 0.0000 0.0000 0.0000
Nb: 0.5000 0.5000 0.0000
Ca: 0.0000 0.0000 0.5000
Ca: 0.5000 0.0000 0.5000
N: 0.7308 0.7081 0.9695
N: 0.7612 0.2919 0.0305
N: 0.2692 0.2919 0.0305
Nb: 0.5000 0.5000 0.5000
N: 0.2389 0.7081 0.4779



(8)
A relaxed Zn2ReRu crystal. Source: the Alexandria database, functional PBE-GGA.

Summary:
ΔE to the lowest computed polymorph, eV/f.u.: 0.803
Total magnetic moment, μB per formula unit: 0.00
Calculated formation energy, meV/atom: 172.6
Fermi-level density of states, states/eV/cell: 2.81

Cell lengths 4.4838, 4.4838, 4.4838 Å; angles 126.26, 126.26, 79.46 degrees
Element x y z (fractional)
Ru: 0.7500 0.2500 0.5000
Re: 0.5000 0.5000 0.0000
Zn: 0.0000 0.0000 0.0000
Zn: 0.2500 0.7500 0.5000



(9)
A relaxed La2ScPb2 crystal. Source: the Alexandria database, functional PBE-GGA.

Summary:
ΔE to the lowest computed polymorph, eV/f.u.: 0.191
Total magnetic moment, μB per formula unit: 0.00
Calculated formation energy, meV/atom: -496.0
Fermi-level density of states, states/eV/cell: 8.54

Cell lengths 5.1408, 6.6783, 9.6131 Å; angles 90.00, 105.51, 90.00 degrees
Element x y z (fractional)
La: 0.0000 0.7268 0.0000
La: 0.8007 0.4768 0.6014
Pb: 0.1766 0.4768 0.3531
Sc: 0.5989 0.4770 0.1979
Pb: 0.4218 0.4770 0.8436
Sc: 0.4011 0.9770 0.8021
La: 0.1993 0.9768 0.3986
La: 0.0000 0.2268 0.0000
Pb: 0.8234 0.9768 0.6469
Pb: 0.5782 0.9770 0.1564



(10)
A relaxed CsPCBr crystal. Source: the Alexandria database, functional PBE-GGA.

Summary:
ΔE to the lowest computed polymorph, eV/f.u.: 0.211
Total magnetic moment, μB per formula unit: 0.00
ΔE_f (raw), eV per atom: 0.264
Fermi-level density of states, states/eV/cell: 1.16

Cell lengths 5.0270, 5.5276, 5.7183 Å; angles 69.56, 75.54, 85.07 degrees
Element x y z (fractional)
Br: 0.7066 0.8916 0.6264
P: 0.8053 0.0660 0.9912
C: 0.6806 0.8361 0.2606
Cs: 0.2258 0.4354 0.3019



(11)
A relaxed CrAsRu2 crystal. Source: the Alexandria database, functional PBE-GGA.

Summary:
Total magnetic moment, μB per formula unit: 0.15
Calculated formation energy, meV/atom: 41.4
Fermi-level density of states, states/eV/cell: 4.01

Cell lengths 5.0440, 5.0440, 5.0440 Å; angles 146.45, 129.43, 62.06 degrees
Element x y z (fractional)
Ru: 0.0060 0.0060 0.0000
As: 0.4967 0.4967 0.0000
Cr: 0.2728 0.7728 0.5000
Ru: 0.7245 0.2245 0.5000



(12)
A relaxed CuSi crystal. Source: the Alexandria database, functional PBE-GGA.

Summary:
Total magnetic moment, μB per formula unit: 0.00
ΔE_f (raw), eV per atom: 0.139
Fermi-level density of states, states/eV/cell: 4.69

Cell lengths 9.5577, 3.9564, 4.5942 Å; angles 90.00, 90.00, 90.00 degrees
Element x y z (fractional)
Cu: 0.0000 0.8710 0.5758
Si: 0.5000 0.6093 0.7743
Cu: 0.7713 0.1428 0.2732
Si: 0.0000 0.3907 0.2743
Cu: 0.5000 0.1290 0.0758
Si: 0.6296 0.6445 0.3027
Si: 0.3704 0.6445 0.3027
Cu: 0.7287 0.8572 0.7732
Cu: 0.2713 0.8572 0.7732
Si: 0.1296 0.3555 0.8027
Cu: 0.2287 0.1428 0.2732
Si: 0.8704 0.3555 0.8027



(13)
A relaxed Pr3Pu2NpN6 crystal. Source: the Alexandria database, functional PBE-GGA.

Summary:
Total magnetic moment, μB per formula unit: 12.07
ΔE_f (raw), eV per atom: -1.277
Fermi-level density of states, states/eV/cell: 18.60

Cell lengths 6.1543, 6.1543, 6.1937 Å; angles 99.53, 99.53, 120.00 degrees
Element x y z (fractional)
Np: 0.0000 0.0000 0.0000
N: 0.2507 0.2507 0.7839
N: 0.0714 0.3941 0.2144
Pr: 0.5000 0.5000 0.5000
Pu: 0.6665 0.3335 0.0000
N: 0.7493 0.7493 0.2161
Pr: 0.1680 0.8320 0.5000
N: 0.6059 0.9286 0.7856
N: 0.9286 0.6059 0.7856
N: 0.3941 0.0714 0.2144
Pu: 0.3335 0.6665 0.0000
Pr: 0.8320 0.1680 0.5000



(14)
A relaxed AcNdErGa crystal. Source: the Alexandria database, functional PBE-GGA.

Summary:
Total magnetic moment, μB per formula unit: 0.00
Calculated formation energy, meV/atom: 38.9
Fermi-level density of states, states/eV/cell: 6.79

Cell lengths 5.5275, 5.5275, 5.5275 Å; angles 60.00, 60.00, 60.00 degrees
Element x y z (fractional)
Ac: 0.7500 0.7500 0.7500
Ga: 0.2500 0.2500 0.2500
Er: 0.0000 0.0000 0.0000
Nd: 0.5000 0.5000 0.5000



(15)
A relaxed Sr2NpPdS5 crystal. Source: the Alexandria database, functional PBE-GGA.

Summary:
Total magnetic moment, μB per formula unit: 2.20
ΔE_f (raw), eV per atom: -1.398
Fermi-level density of states, states/eV/cell: 19.70

Cell lengths 3.9782, 8.9184, 12.3920 Å; angles 90.00, 90.00, 102.89 degrees
Element x y z (fractional)
S: 0.4978 0.9955 0.7629
S: 0.3504 0.7008 0.0122
Pd: 0.5611 0.1221 0.9346
Pd: 0.4389 0.8779 0.4346
S: 0.9497 0.8994 0.5344
Np: 0.8001 0.6003 0.5196
Sr: 0.8869 0.7738 0.1900
S: 0.3004 0.6008 0.3747
S: 0.7051 0.4102 0.1649
S: 0.5022 0.0045 0.2629
Sr: 0.1175 0.2351 0.3307
Sr: 0.1131 0.2262 0.6900
Np: 0.1999 0.3997 0.0196
Sr: 0.8825 0.7649 0.8307
S: 0.6996 0.3992 0.8747
S: 0.0503 0.1006 0.0344
S: 0.6496 0.2992 0.5122
S: 0.2949 0.5898 0.6649



(16)
A relaxed PaAlCrRe crystal. Source: the Alexandria database, functional PBE-GGA.

Summary:
Total magnetic moment, μB per formula unit: 1.95
Calculated formation energy, meV/atom: -40.9
Fermi-level density of states, states/eV/cell: 3.14

Cell lengths 4.5903, 4.5903, 4.5903 Å; angles 60.00, 60.00, 60.00 degrees
Element x y z (fractional)
Cr: 0.5000 0.5000 0.5000
Al: 0.7500 0.7500 0.7500
Re: 0.0000 0.0000 0.0000
Pa: 0.2500 0.2500 0.2500



(17)
A relaxed K2YTlO4 crystal. Source: the Alexandria database, functional PBE-GGA.

Summary:
Total magnetic moment, μB per formula unit: 0.00
ΔE_f (raw), eV per atom: -1.873

Cell lengths 3.4913, 6.0295, 6.6059 Å; angles 108.31, 90.00, 90.00 degrees
Element x y z (fractional)
Y: 0.5000 0.5000 0.0000
Tl: 0.0000 0.0000 0.0000
K: 0.0000 0.5000 0.5000
O: 0.0000 0.2800 0.8064
K: 0.5000 0.0000 0.5000
O: 0.0000 0.7200 0.1936
O: 0.5000 0.2345 0.1946
O: 0.5000 0.7655 0.8054



(18)
A relaxed KTc2As crystal. Source: the Alexandria database, functional PBE-GGA.

Summary:
Total magnetic moment, μB per formula unit: 0.00
Calculated formation energy, meV/atom: 1286.0
Fermi-level density of states, states/eV/cell: 4.52

Cell lengths 5.4567, 5.4567, 5.4567 Å; angles 137.60, 137.60, 61.52 degrees
Element x y z (fractional)
Tc: 0.5000 0.5000 0.0000
Tc: 0.0000 0.0000 0.0000
As: 0.2500 0.7500 0.5000
K: 0.7500 0.2500 0.5000



(19)
A relaxed VNi3S crystal. Source: the Alexandria database, functional PBE-GGA.

Summary:
ΔE to the lowest computed polymorph, eV/f.u.: 5.143
Total magnetic moment, μB per formula unit: 0.00
ΔE_f (raw), eV per atom: 1.231
Fermi-level density of states, states/eV/cell: 4.60

Cell lengths 4.3048, 4.3048, 4.3048 Å; angles 90.00, 90.00, 90.00 degrees
Element x y z (fractional)
V: 0.0000 0.0000 0.0000
Ni: 0.0000 0.0000 0.5000
S: 0.5000 0.5000 0.5000
Ni: 0.0000 0.5000 0.0000
Ni: 0.5000 0.0000 0.0000



(20)
A relaxed CeMgAs2O8 crystal. Source: the Alexandria database, functional PBE-GGA.

Summary:
Total magnetic moment, μB per formula unit: 0.00
ΔE_f (raw), eV per atom: -1.950

Cell lengths 5.4294, 5.4294, 6.6362 Å; angles 90.00, 90.00, 120.00 degrees
Element x y z (fractional)
As: 0.6667 0.3333 0.2069
As: 0.3333 0.6667 0.7931
O: 0.6822 0.8400 0.7164
O: 0.3178 0.1600 0.2836
O: 0.8422 0.6822 0.2836
Mg: 0.0000 0.0000 0.5000
O: 0.1600 0.8422 0.7164
O: 0.3333 0.6667 0.0485
Ce: 0.0000 0.0000 0.0000
O: 0.8400 0.1578 0.2836
O: 0.6667 0.3333 0.9515
O: 0.1578 0.3178 0.7164



Listing volume for the structures above in their given order: 15.6, 21.8, 23.9, 12.8, 10.9, 8.5, 12.1, 14.2, 31.8, 36.0, 13.6, 14.5, 16.0, 29.9, 23.8, 17.1, 16.5, 18.3, 16.0, 14.1 Å³ per atom.